# PrMoO4F

A relaxed PrMoO4F crystal (PBE+U, Alexandria via LeMat-Bulk).

Cell lengths 6.2740, 6.2740, 7.1697 Å; angles 103.87, 103.87, 75.22 degrees
Closest atoms and distances in Å follow each position.
Fractional positions:
Pr (0.2050, 0.2050, 0.1073)  2 F 2.33-2.35, 4 O 2.45-2.47
Pr (0.7950, 0.7950, 0.8927)  2 F 2.33-2.35, 4 O 2.45-2.47
Mo (0.3487, 0.3487, 0.7219)  4 O 1.77-1.82
Mo (0.6513, 0.6513, 0.2781)  4 O 1.77-1.82
O (0.1116, 0.4780, 0.8436)  1 Mo 1.82
O (0.2643, 0.2643, 0.4658)  1 Mo 1.77
O (0.4651, 0.4651, 0.2279)  1 Mo 1.78
O (0.4780, 0.1116, 0.8436)  1 Mo 1.82
O (0.5220, 0.8884, 0.1564)  1 Mo 1.82
O (0.5349, 0.5349, 0.7721)  1 Mo 1.78
O (0.7357, 0.7357, 0.5342)  1 Mo 1.77
O (0.8884, 0.5220, 0.1564)  1 Mo 1.82
F (0.0123, 0.0123, 0.8253)  2 Pr 2.33-2.35, 1 F 2.59
F (0.9877, 0.9877, 0.1747)  2 Pr 2.33-2.35, 1 F 2.59

Results
**Total energy**: -7.38 eV/atom
**Total magnetization**: 0.00 μB/f.u.
**Theoretical density**: 4.08 Mg/m³
**Space-group type**: C2/m